# DyAs12Ru4 | Alexandria | PBE | optimized geometry
data_DyAs12Ru4
_space_group_name_H-M_alt 'P 1'
_space_group_IT_number 1
_cell_length_a 7.433
_cell_length_b 7.433
_cell_length_c 7.433
_cell_angle_alpha 109.47
_cell_angle_beta 109.47
_cell_angle_gamma 109.47
loop_
_space_group_symop_operation_xyz
'x,y,z'
loop_
_atom_site_label
_atom_site_fract_x
_atom_site_fract_y
_atom_site_fract_z
Dy1 0.000 0.000 0.000
As1 0.149 0.348 0.498
As2 0.149 0.652 0.801
As3 0.199 0.851 0.348
As4 0.348 0.199 0.851
As5 0.348 0.498 0.149
As6 0.498 0.149 0.348
As7 0.502 0.851 0.652
As8 0.652 0.502 0.851
As9 0.652 0.801 0.149
As10 0.801 0.149 0.652
As11 0.851 0.348 0.199
As12 0.851 0.652 0.502
Ru1 0.000 0.000 0.500
Ru2 0.000 0.500 0.000
Ru3 0.500 0.000 0.000
Ru4 0.500 0.500 0.500
# * space-group type: No. 204

=====

# DyAs4Ru4 | Alexandria | PBE | optimized geometry
data_DyAs4Ru4
_space_group_name_H-M_alt 'P 1'
_space_group_IT_number 1
_cell_length_a 6.214
_cell_length_b 6.214
_cell_length_c 8.006
_cell_angle_alpha 90.00
_cell_angle_beta 90.00
_cell_angle_gamma 90.00
loop_
_space_group_symop_operation_xyz
'x,y,z'
loop_
_atom_site_label
_atom_site_fract_x
_atom_site_fract_y
_atom_site_fract_z
Dy1 0.250 0.750 0.250
Dy2 0.750 0.250 0.750
As1 0.024 0.250 0.057
As2 0.250 0.024 0.557
As3 0.250 0.476 0.557
As4 0.476 0.250 0.057
As5 0.524 0.750 0.943
As6 0.750 0.524 0.443
As7 0.750 0.976 0.443
As8 0.976 0.750 0.943
Ru1 0.028 0.250 0.357
Ru2 0.250 0.028 0.857
Ru3 0.250 0.472 0.857
Ru4 0.472 0.250 0.357
Ru5 0.528 0.750 0.643
Ru6 0.750 0.528 0.143
Ru7 0.750 0.972 0.143
Ru8 0.972 0.750 0.643
# * space-group type: No. 137

=====

# DyAs3Ru3 | Alexandria | PBE | optimized geometry
data_DyAs3Ru3
_space_group_name_H-M_alt 'P 1'
_space_group_IT_number 1
_cell_length_a 6.675
_cell_length_b 6.675
_cell_length_c 6.675
_cell_angle_alpha 90.00
_cell_angle_beta 90.00
_cell_angle_gamma 90.00
loop_
_space_group_symop_operation_xyz
'x,y,z'
loop_
_atom_site_label
_atom_site_fract_x
_atom_site_fract_y
_atom_site_fract_z
Dy1 0.000 0.000 0.000
Dy2 0.500 0.500 0.500
As1 0.000 0.250 0.500
As2 0.000 0.750 0.500
As3 0.250 0.500 0.000
As4 0.500 0.000 0.250
As5 0.500 0.000 0.750
As6 0.750 0.500 0.000
Ru1 0.000 0.500 0.250
Ru2 0.000 0.500 0.750
Ru3 0.250 0.000 0.500
Ru4 0.500 0.250 0.000
Ru5 0.500 0.750 0.000
Ru6 0.750 0.000 0.500
# * space-group type: No. 223

=====

Summary of energy relative to the elements in meV/atom
-426; -319; 10
(order as listed above)
Summary of total moment in μB per formula unit
0.000; 0.000; 0.000
(order as listed above)